[1]
This record from Alexandria via LeMat-Bulk describes crystalline Ti3SeS3 at its relaxed geometry. The functional is PBE-GGA.

Computed properties:
The value obtained for the density of states at the Fermi level is 0.7542 states/eV per atom. Its magnetic moment is 0.9 μB/cell. For the formation energy without anion corrections, the calculation gives -1.26 eV/atom.

```
Ti3SeS3
1.0
5.013 2.894 3.493
-5.013 2.894 3.493
0.000 -5.788 3.493
Ti Se S
6 2 6
Direct
0.194 0.556 0.401
0.401 0.194 0.556
0.444 0.599 0.806
0.556 0.401 0.194
0.599 0.806 0.444
0.806 0.444 0.599
0.216 0.216 0.216
0.784 0.784 0.784
0.138 0.377 0.694
0.306 0.862 0.623
0.377 0.694 0.138
0.623 0.306 0.862
0.694 0.138 0.377
0.862 0.623 0.306
```

---

[2]
This record from Alexandria via LeMat-Bulk describes crystalline TiTlSeS at its relaxed geometry. The functional is PBE-GGA.

Computed properties:
The value obtained for the density of states at the Fermi level is 0.7352 states/eV per atom. Its magnetic moment is 0.0 μB/cell. For the formation energy without anion corrections, the calculation gives -0.95 eV/atom.

```
TiTlSeS
1.0
3.052 -1.762 0.000
3.052 1.762 0.000
-2.025 0.000 8.483
Ti Tl Se S
1 1 1 1
Direct
0.000 0.000 0.000
0.171 0.171 0.513
0.396 0.396 0.187
0.613 0.613 0.837
```

---

[3]
This record from Alexandria via LeMat-Bulk describes crystalline TiWSeS2 at its relaxed geometry. The functional is PBE-GGA.

Computed properties:
The value obtained for the density of states at the Fermi level is 0.6109 states/eV per atom. Its magnetic moment is 4.0 μB/cell. For the formation energy without anion corrections, the calculation gives 0.51 eV/atom.

```
TiWSeS2
1.0
4.552 0.000 0.000
0.000 4.552 0.000
0.000 0.000 5.162
Ti W Se S
1 1 1 2
Direct
0.000 0.000 0.000
0.500 0.500 0.500
0.000 0.000 0.500
0.000 0.500 0.000
0.500 0.000 0.000
```

---

[4]
This record from Alexandria via LeMat-Bulk describes crystalline Tl12Se3S5 at its relaxed geometry. The functional is PBE-GGA.

Computed properties:
The value obtained for the density of states at the Fermi level is 0.5090 states/eV per atom. Its magnetic moment is 0.0 μB/cell. For the formation energy without anion corrections, the calculation gives -0.20 eV/atom.

```
Tl12Se3S5
1.0
-8.870 8.870 8.870
8.870 -8.870 8.870
8.870 8.870 -8.870
Tl Se S
48 12 20
Direct
0.049 0.219 0.139
0.049 0.329 0.910
0.080 0.719 0.671
0.080 0.861 0.410
0.090 0.639 0.420
0.090 0.951 0.671
0.139 0.049 0.219
0.139 0.590 0.920
0.171 0.219 0.580
0.171 0.451 0.590
0.219 0.139 0.049
0.219 0.580 0.171
0.281 0.329 0.920
0.281 0.451 0.361
0.329 0.910 0.049
0.329 0.920 0.281
0.361 0.281 0.451
0.361 0.580 0.910
0.410 0.080 0.861
0.410 0.829 0.549
0.420 0.090 0.639
0.420 0.829 0.781
0.451 0.361 0.281
0.451 0.590 0.171
0.549 0.410 0.829
0.549 0.639 0.719
0.580 0.171 0.219
0.580 0.910 0.361
0.590 0.171 0.451
0.590 0.920 0.139
0.639 0.420 0.090
0.639 0.719 0.549
0.671 0.080 0.719
0.671 0.090 0.951
0.719 0.549 0.639
0.719 0.671 0.080
0.781 0.420 0.829
0.781 0.861 0.951
0.829 0.549 0.410
0.829 0.781 0.420
0.861 0.410 0.080
0.861 0.951 0.781
0.910 0.049 0.329
0.910 0.361 0.580
0.920 0.139 0.590
0.920 0.281 0.329
0.951 0.671 0.090
0.951 0.781 0.861
0.125 0.250 0.375
0.125 0.375 0.750
0.250 0.375 0.125
0.250 0.875 0.625
0.375 0.125 0.250
0.375 0.750 0.125
0.625 0.250 0.875
0.625 0.875 0.750
0.750 0.125 0.375
0.750 0.625 0.875
0.875 0.625 0.250
0.875 0.750 0.625
0.000 0.000 0.000
0.000 0.000 0.500
0.000 0.500 0.000
0.000 0.500 0.500
0.125 0.750 0.875
0.125 0.875 0.250
0.250 0.125 0.875
0.250 0.625 0.375
0.375 0.250 0.625
0.375 0.625 0.750
0.500 0.000 0.000
0.500 0.000 0.500
0.500 0.500 0.000
0.500 0.500 0.500
0.625 0.375 0.250
0.625 0.750 0.375
0.750 0.375 0.625
0.750 0.875 0.125
0.875 0.125 0.750
0.875 0.250 0.125
```

---

[5]
This record from Alexandria via LeMat-Bulk describes crystalline TlSe2S2 at its relaxed geometry. The functional is PBE-GGA.

Computed properties:
The value obtained for the density of states at the Fermi level is 0.0407 states/eV per atom. Its distance to the lowest polymorph of the same formula is 0.0 meV/atom. Its magnetic moment is 0.0 μB/cell. For the formation energy without anion corrections, the calculation gives 0.02 eV/atom.

```
TlSe2S2
1.0
4.997 0.000 0.000
0.000 6.148 0.000
-1.963 0.000 10.681
Tl Se S
2 4 4
Direct
0.165 0.250 0.142
0.835 0.750 0.858
0.335 0.750 0.575
0.355 0.750 0.095
0.645 0.250 0.905
0.665 0.250 0.425
0.150 0.750 0.260
0.496 0.750 0.409
0.504 0.250 0.591
0.850 0.250 0.740
```

---

[6]
This record from Alexandria via LeMat-Bulk describes crystalline TlSeS2 at its relaxed geometry. The functional is PBE-GGA.

Computed properties:
The value obtained for the density of states at the Fermi level is 0.1166 states/eV per atom. Its distance to the lowest polymorph of the same formula is 14.9 meV/atom. Its magnetic moment is 0.0 μB/cell. For the formation energy without anion corrections, the calculation gives -0.08 eV/atom.

```
TlSeS2
1.0
7.777 0.000 0.000
0.000 8.700 0.000
-2.532 0.000 7.551
Tl Se S
4 4 8
Direct
0.250 0.145 0.002
0.250 0.355 0.502
0.750 0.645 0.498
0.750 0.855 0.998
0.249 0.697 0.997
0.249 0.803 0.497
0.751 0.197 0.503
0.751 0.303 0.003
0.058 0.659 0.305
0.058 0.841 0.805
0.443 0.661 0.690
0.443 0.839 0.190
0.557 0.161 0.810
0.557 0.339 0.310
0.942 0.159 0.195
0.942 0.341 0.695
```

---

Look up the magnetic moment of the fifth one.
0.0 μB/cell

---

Among the records above, which one has the lowest formation energy without anion corrections?
Ti3SeS3

---

The lowest formation energy without anion corrections belongs to which entry?
Ti3SeS3